First-principles (PBE) data for crystalline Rb2ZrH2 at its relaxed geometry, as listed in the Alexandria database.

Computed properties:
VASP energy   -24.26 eV per cell
DOS at the Fermi energy   1.050 states/eV/atom
Total magnetization   0.48 μB/atom
Volume   30.4 Å³/atom

Cell: 5.1100 5.1100 11.6522 Å, 90.00 90.00 90.00°
Last column: nearest neighbours and their distance in Å.
Space group I4/mmm (No. 139)
Unique sites:
Rb  0.0000  0.0000  0.1613 [4 per cell]  4 H 2.76
Zr  0.0000  0.0000  0.5000 [2 per cell]  8 H 3.87, 10 Rb 3.95-4.07
H  0.0000  0.5000  0.2500 [4 per cell]  4 Rb 2.76

***

First-principles (PBE) data for crystalline NdEr2Tm6 at its relaxed geometry, as listed in the Alexandria database.

Computed properties:
VASP energy   -111.44 eV per cell
DOS at the Fermi energy   1.741 states/eV/atom
Total magnetization   0.00 μB/atom
Formation energy from the elements   0.40 eV/atom
Volume   34.5 Å³/atom

Cell: 6.8446 6.8446 22.9425 Å, 90.00 90.00 120.00°
Last column: nearest neighbours and their distance in Å.
Space group R3m (No. 160, hexagonal axes)
Unique sites:
Nd  0.0000  0.0000  0.0000 [3 per cell]  6 Tm 3.20-3.26
Er  0.0000  0.0000  0.2466 [3 per cell]  9 Tm 3.47-3.67, 1 Er 3.82
Er  0.0000  0.0000  0.4130 [3 per cell]  9 Tm 3.50-3.79, 1 Er 3.82
Tm  0.0043  0.5022  0.2214 [9 per cell]  6 Tm 3.23-3.47, 1 Nd 3.26, 2 Er 3.47
Tm  0.1698  0.3395  0.7775 [9 per cell]  1 Nd 3.20, 6 Tm 3.23-3.49, 2 Er 3.50

***

First-principles (PBE) data for crystalline PrGa2GeAu at its relaxed geometry, as listed in the Alexandria database.

Computed properties:
VASP energy   -79.96 eV per cell
DOS at the Fermi energy   0.657 states/eV/atom
Total magnetization   0.00 μB/atom
Formation energy from the elements   -0.25 eV/atom
Volume   25.2 Å³/atom

Cell: 6.4537 6.4537 12.1001 Å, 90.00 90.00 90.00°
Last column: nearest neighbours and their distance in Å.
Space group I4cm (No. 108)
Unique sites:
Pr  0.0000  0.0000  0.0000 [4 per cell]  2 Au 2.91-3.14, 4 Ge 3.25
Ga  0.1462  0.3538  0.2215 [8 per cell]  2 Au 2.51, 1 Ge 2.66, 1 Ga 2.67
Ge  0.0000  0.5000  0.0311 [4 per cell]  2 Ga 2.66
Au  0.0000  0.0000  0.2592 [4 per cell]  4 Ga 2.51

***

First-principles (PBE) data for crystalline Cs2ScRuCl6 at its relaxed geometry, as listed in the Alexandria database.

Computed properties:
VASP energy   -85.76 eV per cell
Energy relative to the elements, uncorrected   -1.45 eV/atom
DOS at the Fermi energy   0.448 states/eV/atom
Total magnetization   0.10 μB/atom
Volume   26.5 Å³/atom

Cell: 7.1991 7.1991 10.2079 Å, 90.00 90.00 90.00°
Last column: nearest neighbours and their distance in Å.
Space group I4/mmm (No. 139)
Unique sites:
Cs  0.0000  0.5000  0.2500 [4 per cell]  12 Cl 3.60
Sc  0.0000  0.0000  0.0000 [2 per cell]  6 Cl 2.55
Ru  0.0000  0.0000  0.5000 [2 per cell]  6 Cl 2.54-2.56
Cl  0.0000  0.0000  0.2493 [4 per cell]  1 Sc 2.55, 1 Ru 2.56
Cl  0.2501  0.2501  0.0000 [8 per cell]  1 Ru 2.54, 1 Sc 2.55

***

First-principles (PBE) data for crystalline Ac3Ag2Hg at its relaxed geometry, as listed in the Alexandria database.

Computed properties:
VASP energy   -20.35 eV per cell
DOS at the Fermi energy   0.717 states/eV/atom
Total magnetization   0.00 μB/atom
Formation energy from the elements   -0.34 eV/atom
Volume   31.8 Å³/atom

Cell: 4.0001 4.0001 11.9195 Å, 90.00 90.00 90.00°
Last column: nearest neighbours and their distance in Å.
Space group P4/mmm (No. 123)
Unique sites:
Ac  0.0000  0.0000  0.0000 [1 per cell]  8 Ag 3.43
Ac  0.0000  0.0000  0.3288 [2 per cell]  4 Ag 3.45, 4 Hg 3.49
Ag  0.5000  0.5000  0.1630 [2 per cell]  8 Ac 3.43-3.45
Hg  0.5000  0.5000  0.5000 [1 per cell]  8 Ac 3.49

***

First-principles (PBE) data for crystalline Tb3Pm4Y at its relaxed geometry, as listed in the Alexandria database.

Computed properties:
VASP energy   -78.32 eV per cell
DOS at the Fermi energy   1.804 states/eV/atom
Total magnetization   0.00 μB/atom
Formation energy from the elements   0.02 eV/atom
Volume   33.6 Å³/atom

Cell: 11.5776 7.3388 6.3352 Å, 90.00 90.00 90.00°
Last column: nearest neighbours and their distance in Å.
Space group Pmn2_1 (No. 31)
Unique sites:
Tb  0.0000  0.1231  0.0000 [2 per cell]  4 Tb 3.57-3.58, 6 Pm 3.58-3.69, 2 Y 3.64-3.65
Tb  0.2500  0.1231  0.3339 [4 per cell]  2 Y 3.57-3.58, 4 Tb 3.57-3.65, 6 Pm 3.59-3.70
Pm  0.0000  0.3736  0.4997 [2 per cell]  6 Pm 3.58-3.67, 4 Tb 3.59-3.66, 2 Y 3.64-3.70
Pm  0.0000  0.6263  0.9998 [2 per cell]  6 Pm 3.58-3.67, 4 Tb 3.59-3.69, 2 Y 3.66-3.67
Pm  0.2497  0.3732  0.8327 [4 per cell]  6 Pm 3.58-3.67, 5 Tb 3.58-3.70, 1 Y 3.59
Y  0.0000  0.8772  0.5003 [2 per cell]  6 Tb 3.57-3.65, 6 Pm 3.59-3.70

***

First-principles (PBE) data for crystalline RbSr2Tl at its relaxed geometry, as listed in the Alexandria database.

Computed properties:
VASP energy   -20.65 eV per cell
DOS at the Fermi energy   1.118 states/eV/atom
Total magnetization   0.00 μB/atom
Formation energy from the elements   -0.05 eV/atom
Volume   55.0 Å³/atom

Cell: 4.3610 4.3610 40.0711 Å, 90.00 90.00 120.00°
Last column: nearest neighbours and their distance in Å.
Space group R-3m (No. 166, hexagonal axes)
Unique sites:
Rb  0.0000  0.0000  0.0000 [3 per cell]  6 Rb 4.36, 2 Sr 4.37
Sr  0.0000  0.0000  0.1089 [6 per cell]  3 Tl 3.42
Tl  0.0000  0.0000  0.5000 [3 per cell]  6 Sr 3.42

***

First-principles (PBE) data for crystalline Pa2Zn3Sn3 at its relaxed geometry, as listed in the Alexandria database.

Computed properties:
VASP energy   -36.26 eV per cell
DOS at the Fermi energy   1.313 states/eV/atom
Total magnetization   0.00 μB/atom
Formation energy from the elements   -0.18 eV/atom
Volume   22.4 Å³/atom

Cell: 4.4787 4.4917 8.9097 Å, 90.00 90.00 90.00°
Last column: nearest neighbours and their distance in Å.
Space group Pmmm (No. 47)
Unique sites:
Pa  0.0000  0.0000  0.2490 [2 per cell]  6 Sn 3.15-3.17, 6 Zn 3.16-3.18
Zn  0.0000  0.5000  0.0000 [1 per cell]  4 Zn 3.03, 4 Pa 3.16, 4 Sn 3.17
Zn  0.5000  0.5000  0.2290 [2 per cell]  2 Zn 3.03, 6 Sn 3.03-3.30, 4 Pa 3.18
Sn  0.0000  0.5000  0.5000 [1 per cell]  4 Pa 3.17, 4 Sn 3.17, 4 Zn 3.29
Sn  0.5000  0.0000  0.0000 [1 per cell]  8 Zn 3.03-3.17, 4 Pa 3.15
Sn  0.5000  0.0000  0.5000 [1 per cell]  4 Pa 3.17, 4 Sn 3.17, 4 Zn 3.30

***

First-principles (PBE) data for crystalline HfScIn at its relaxed geometry, as listed in the Alexandria database.

Computed properties:
VASP energy   -39.45 eV per cell
DOS at the Fermi energy   0.756 states/eV/atom
Total magnetization   0.00 μB/atom
Formation energy from the elements   -0.23 eV/atom
Volume   22.6 Å³/atom

Cell: 3.2794 3.2794 12.5850 Å, 90.00 90.00 90.00°
Last column: nearest neighbours and their distance in Å.
Space group I4mm (No. 107)
Unique sites:
Hf  0.0000  0.0000  0.0000 [2 per cell]  4 In 3.12, 4 Sc 3.13, 4 Hf 3.28
Sc  0.0000  0.0000  0.6666 [2 per cell]  4 Hf 3.13, 4 In 3.13, 4 Sc 3.28
In  0.0000  0.0000  0.3338 [2 per cell]  4 Hf 3.12, 4 Sc 3.13, 4 In 3.28

***

First-principles (PBE) data for crystalline Rb2HfPbCl6 at its relaxed geometry, as listed in the Alexandria database.

Computed properties:
VASP energy   -82.74 eV per cell
Energy relative to the elements, uncorrected   -1.47 eV/atom
DOS at the Fermi energy   0.196 states/eV/atom
Total magnetization   0.00 μB/atom
Volume   37.3 Å³/atom

Cell: 7.5973 7.5973 12.9112 Å, 90.00 90.00 90.00°
Last column: nearest neighbours and their distance in Å.
Space group I4/mmm (No. 139)
Unique sites:
Rb  0.0000  0.5000  0.2500 [4 per cell]  12 Cl 3.87-4.21
Hf  0.0000  0.0000  0.0000 [2 per cell]  6 Cl 2.46-2.50
Pb  0.0000  0.0000  0.5000 [2 per cell]  4 Cl 2.91
Cl  0.0000  0.0000  0.1938 [4 per cell]  1 Hf 2.50
Cl  0.2289  0.2289  0.0000 [8 per cell]  1 Hf 2.46

***

First-principles (PBE) data for crystalline TlIr2I2 at its relaxed geometry, as listed in the Alexandria database.

Computed properties:
VASP energy   -38.65 eV per cell
Energy relative to the elements, uncorrected   0.77 eV/atom
DOS at the Fermi energy   0.912 states/eV/atom
Total magnetization   0.00 μB/atom
Volume   29.0 Å³/atom

Cell: 8.3440 8.3440 4.1672 Å, 90.00 90.00 90.00°
Last column: nearest neighbours and their distance in Å.
Space group P4/mbm (No. 127)
Unique sites:
Tl  0.0000  0.0000  0.0000 [2 per cell]  4 Ir 3.44, 8 I 3.62
Ir  0.1003  0.3997  0.0000 [4 per cell]  1 Ir 2.37, 2 I 2.60
I  0.2314  0.2686  0.5000 [4 per cell]  2 Ir 2.60

***

First-principles (PBE) data for crystalline NdGdRu at its relaxed geometry, as listed in the Alexandria database.

Computed properties:
VASP energy   -57.54 eV per cell
DOS at the Fermi energy   0.683 states/eV/atom
Total magnetization   2.35 μB/atom
Formation energy from the elements   -0.22 eV/atom
Volume   26.9 Å³/atom

Cell: 3.4652 3.4652 13.4270 Å, 90.00 90.00 90.00°
Last column: nearest neighbours and their distance in Å.
Space group I4mm (No. 107)
Unique sites:
Nd  0.0000  0.0000  0.0000 [2 per cell]  4 Ru 3.01
Gd  0.0000  0.0000  0.2512 [2 per cell]  4 Ru 2.94
Ru  0.0000  0.0000  0.6300 [2 per cell]  4 Gd 2.94, 4 Nd 3.01

***

First-principles (PBE) data for crystalline BaGa2H at its relaxed geometry, as listed in the Alexandria database.

Computed properties:
VASP energy   -37.88 eV per cell
DOS at the Fermi energy   0.828 states/eV/atom
Total magnetization   0.00 μB/atom
Volume   25.4 Å³/atom

Cell: 7.4078 7.4078 7.4078 Å, 90.00 90.00 90.00°
Last column: nearest neighbours and their distance in Å.
Space group Fm-3m (No. 225)
Unique sites:
Ba  0.0000  0.0000  0.0000 [4 per cell]  8 Ga 3.21
Ga  0.2500  0.2500  0.2500 [8 per cell]  4 Ba 3.21, 4 H 3.21
H  0.0000  0.0000  0.5000 [4 per cell]  8 Ga 3.21

***

First-principles (PBE) data for crystalline TaNbCuAs2 at its relaxed geometry, as listed in the Alexandria database.

Computed properties:
VASP energy   -30.74 eV per cell
DOS at the Fermi energy   0.517 states/eV/atom
Total magnetization   0.51 μB/atom
Formation energy from the elements   0.92 eV/atom
Volume   22.7 Å³/atom

Cell: 4.8945 4.8945 4.7398 Å, 90.00 90.00 90.00°
Last column: nearest neighbours and their distance in Å.
Space group P4/mmm (No. 123)
Unique sites:
Ta  0.0000  0.0000  0.0000 [1 per cell]  2 Cu 2.37, 4 As 2.45
Nb  0.5000  0.5000  0.5000 [1 per cell]  8 As 3.41, 4 Cu 3.46
Cu  0.0000  0.0000  0.5000 [1 per cell]  2 Ta 2.37
As  0.0000  0.5000  0.0000 [2 per cell]  2 Ta 2.45

***

First-principles (PBE) data for crystalline Pu3U3TaN8 at its relaxed geometry, as listed in the Alexandria database.

Computed properties:
VASP energy   -521.16 eV per cell
Energy relative to the elements, uncorrected   -1.23 eV/atom
DOS at the Fermi energy   1.555 states/eV/atom
Total magnetization   1.06 μB/atom
Volume   14.7 Å³/atom

Cell: 6.7545 6.7545 16.7246 Å, 90.00 90.00 120.00°
Last column: nearest neighbours and their distance in Å.
Space group R-3m (No. 166, hexagonal axes)
Unique sites:
Pu  0.0000  0.5000  0.0000 [9 per cell]  6 N 2.45-2.48
U  0.0000  0.5000  0.5000 [9 per cell]  6 N 2.34-2.35
Ta  0.0000  0.0000  0.5000 [3 per cell]  6 N 2.19
N  0.0000  0.0000  0.2451 [6 per cell]  3 U 2.35, 3 Pu 2.45
N  0.0199  0.5100  0.2377 [18 per cell]  1 Ta 2.19, 2 U 2.34

***

First-principles (PBE) data for crystalline In2ReBr at its relaxed geometry, as listed in the Alexandria database.

Computed properties:
VASP energy   -62.74 eV per cell
Energy relative to the elements, uncorrected   0.98 eV/atom
DOS at the Fermi energy   0.236 states/eV/atom
Total magnetization   0.52 μB/atom
Volume   23.1 Å³/atom

Cell: 7.1731 7.1731 7.1731 Å, 90.00 90.00 90.00°
Last column: nearest neighbours and their distance in Å.
Space group Fm-3m (No. 225)
Unique sites:
In  0.2500  0.2500  0.2500 [8 per cell]  4 Re 3.11, 4 Br 3.11
Re  0.0000  0.0000  0.0000 [4 per cell]  8 In 3.11
Br  0.0000  0.0000  0.5000 [4 per cell]  8 In 3.11

***

First-principles (PBE) data for crystalline Tl2OsBr at its relaxed geometry, as listed in the Alexandria database.

Computed properties:
VASP energy   -13.80 eV per cell
Energy relative to the elements, uncorrected   0.96 eV/atom
DOS at the Fermi energy   0.522 states/eV/atom
Total magnetization   0.42 μB/atom
Volume   26.8 Å³/atom

Cell: 3.3856 4.8063 6.5945 Å, 90.00 90.00 90.00°
Last column: nearest neighbours and their distance in Å.
Space group Pmmm (No. 47)
Unique sites:
Tl  0.0000  0.0000  0.0000 [1 per cell]  4 Br 2.94
Tl  0.5000  0.0000  0.5000 [1 per cell]  4 Os 2.94
Os  0.0000  0.5000  0.5000 [1 per cell]  4 Tl 2.94
Br  0.5000  0.5000  0.0000 [1 per cell]  4 Tl 2.94

***

| no. | theoretical density (Mg/m³) |
| --- | --- |
| 1 | 2.883 |
| 2 | 7.987 |
| 3 | 7.248 |
| 4 | 3.921 |
| 5 | 9.554 |
| 6 | 7.069 |
| 7 | 3.511 |
| 8 | 9.398 |
| 9 | 8.300 |
| 10 | 3.429 |
| 11 | 9.646 |
| 12 | 8.292 |
| 13 | 4.539 |
| 14 | 7.126 |
| 15 | 13.111 |
| 16 | 8.922 |
| 17 | 10.506 |